A relaxed structure of TiHRu2Pt. Source: Alexandria via LeMat-Bulk, functional PBE-GGA.

Properties
Its space-group type is P4/mmm (123). The total energy is -7.61 eV per atom. For the density of states at the Fermi level, the calculation gives 3.77 states/eV per cell.

Cell lengths 3.8920, 3.8920, 3.9708 Å; angles 90.00, 90.00, 90.00 degrees
Closest atoms and distances in Å follow each position.
Fractional coordinates of all 5 atoms:
Ru (0.5000, 0.0000, 0.0000)  2 H 1.95
Ru (0.0000, 0.5000, 0.0000)  2 H 1.95
H (0.0000, 0.0000, 0.0000)  4 Ru 1.95, 2 Ti 1.99
Ti (0.0000, 0.0000, 0.5000)  2 H 1.99
Pt (0.5000, 0.5000, 0.5000)  4 Ti 2.75, 8 Ru 2.78